The following is a PBE calculation of an optimized crystal structure of CeHoIN2, from Alexandria.

Structure (extended XYZ):
```
10
Lattice="4.186 0.000 0.000 0.000 7.328 -0.385 0.000 -2.067 7.747" Properties=species:S:1:pos:R:3 pbc="T T T"
Ce 1.046 2.820 6.810
Ce 3.139 2.441 0.552
Ho 1.046 3.789 2.971
Ho 3.139 1.473 4.391
I 1.046 -1.310 5.762
I 3.139 6.571 1.599
N 3.139 2.920 2.671
N 1.046 2.341 4.691
N 3.139 1.959 6.657
N 1.046 3.302 0.704
```

Summary:
The formation energy without anion corrections comes out at -1550 meV/atom. The value obtained for the uncorrected energy is -7.293 eV/atom. Its volume is 23.429 Å³/atom.